(1)
# YCdCu, relaxed, DFT PBE
data_YCdCu
_symmetry_space_group_name_H-M 'I 4 m m'
_symmetry_Int_Tables_number 107
_symmetry_space_group_name_Hall 'I 4 -2'
_cell_length_a 3.5016
_cell_length_b 3.5016
_cell_length_c 10.4101
_cell_angle_alpha 90.00
_cell_angle_beta 90.00
_cell_angle_gamma 90.00
loop_
_atom_site_label
_atom_site_type_symbol
_atom_site_fract_x
_atom_site_fract_y
_atom_site_fract_z
Y1 Y 0.0000 0.0000 0.0000
Cd1 Cd 0.0000 0.0000 0.6992
Cu1 Cu 0.0000 0.0000 0.3335
# - magnetic moment (μB per formula unit) = 0.00
# - ρ (g/cm³) = 6.9
# - formation enthalpy at 0 K (eV per atom) = -0.167

=====

(2)
# Y5CdCu4, relaxed, DFT PBE
data_Y5CdCu4
_symmetry_space_group_name_H-M 'P 4/m m m'
_symmetry_Int_Tables_number 123
_symmetry_space_group_name_Hall '-P 4 2'
_cell_length_a 3.4960
_cell_length_b 3.4960
_cell_length_c 18.1350
_cell_angle_alpha 90.00
_cell_angle_beta 90.00
_cell_angle_gamma 90.00
loop_
_atom_site_label
_atom_site_type_symbol
_atom_site_fract_x
_atom_site_fract_y
_atom_site_fract_z
Y1 Y 0.0000 0.0000 0.0000
Y2 Y 0.0000 0.0000 0.1920
Y3 Y 0.0000 0.0000 0.3825
Cd1 Cd 0.5000 0.5000 0.5000
Cu1 Cu 0.5000 0.5000 0.0954
Cu2 Cu 0.5000 0.5000 0.2896
# - magnetic moment (μB per formula unit) = 0.00
# - ρ (g/cm³) = 6.1
# - formation enthalpy at 0 K (eV per atom) = -0.260

=====

(3)
# YCd2Cu6, relaxed, DFT PBE
data_YCd2Cu6
_symmetry_space_group_name_H-M 'I m m m'
_symmetry_Int_Tables_number 71
_symmetry_space_group_name_Hall '-I 2 2'
_cell_length_a 3.5642
_cell_length_b 6.8692
_cell_length_c 12.6298
_cell_angle_alpha 90.00
_cell_angle_beta 90.00
_cell_angle_gamma 90.00
loop_
_atom_site_label
_atom_site_type_symbol
_atom_site_fract_x
_atom_site_fract_y
_atom_site_fract_z
Y1 Y 0.0000 0.0000 0.0000
Cd1 Cd 0.0000 0.5000 0.1365
Cu1 Cu 0.0000 0.1784 0.5000
Cu2 Cu 0.0000 0.3138 0.3209
# - magnetic moment (μB per formula unit) = 0.00
# - ρ (g/cm³) = 7.5
# - formation enthalpy at 0 K (eV per atom) = 0.048